(1)
Computed, not measured: an optimized crystal structure of PrHoCd at the GGA-PBE level of DFT.

Lattice parameters (Å, degrees): 5.1701 5.1701 5.1701 60.00 60.00 60.00
Fractional positions:
Pr1 0.0000 0.0000 0.0000
Ho1 0.7500 0.7500 0.7500
Cd1 0.2500 0.2500 0.2500

Values from the calculation:
* energy relative to the elements: 0.4809 eV/atom
* total DFT energy (no corrections): -8.804 eV/cell



(2)
Computed, not measured: an optimized crystal structure of Be2TlNi at the GGA-PBE level of DFT.

Lattice parameters (Å, degrees): 4.1804 4.1804 4.1804 60.00 60.00 60.00
Fractional positions:
Be1 0.0000 0.0000 0.0000
Be2 0.2500 0.2500 0.2500
Tl1 0.5000 0.5000 0.5000
Ni1 0.7500 0.7500 0.7500

Values from the calculation:
* total DFT energy (no corrections): -13.605 eV/cell



(3)
Computed, not measured: an optimized crystal structure of SrPdNO at the GGA-PBE level of DFT.

Lattice parameters (Å, degrees): 3.9747 5.4154 5.9017 90.00 90.00 90.00
Fractional positions:
Sr1 0.0000 0.2198 0.0000
Sr2 0.0000 0.7802 0.5000
Pd1 0.5000 0.2489 0.5290
Pd2 0.5000 0.7511 0.0290
N1 0.5000 0.0383 0.2540
N2 0.5000 0.9617 0.7540
O1 0.0000 0.3383 0.5754
O2 0.0000 0.6617 0.0754

Values from the calculation:
* total DFT energy (no corrections): -44.362 eV/cell
* relative energy among the computed polymorphs: 0.206 eV/atom



(4)
Computed, not measured: an optimized crystal structure of Pr2Mg4CuNi at the GGA-PBE level of DFT.

Lattice parameters (Å, degrees): 8.1792 5.5259 5.5259 45.68 90.00 90.00
Fractional positions:
Pr1 0.0000 0.0000 0.0000
Pr2 0.5000 0.1160 0.1160
Mg1 0.1995 0.7109 0.7109
Mg2 0.3089 0.4051 0.4051
Mg3 0.6911 0.4051 0.4051
Mg4 0.8005 0.7109 0.7109
Cu1 0.0000 0.2892 0.2892
Ni1 0.5000 0.8324 0.8324

Values from the calculation:
* total DFT energy (no corrections): -26.642 eV/cell



(5)
Computed, not measured: an optimized crystal structure of ZnTe2Pd at the GGA-PBE level of DFT.

Lattice parameters (Å, degrees): 5.0015 5.0015 5.0015 60.00 60.00 60.00
Fractional positions:
Zn1 0.0000 0.0000 0.0000
Te1 0.2500 0.2500 0.2500
Te2 0.5000 0.5000 0.5000
Pd1 0.7500 0.7500 0.7500

Values from the calculation:
* total DFT energy (no corrections): -11.645 eV/cell



(6)
Computed, not measured: an optimized crystal structure of PtN at the GGA-PBE level of DFT.

Lattice parameters (Å, degrees): 3.0077 3.0077 2.9825 90.00 90.00 120.00
Fractional positions:
Pt1 0.0000 0.0000 0.0000
N1 0.3333 0.6667 0.5000

Values from the calculation:
* total DFT energy (no corrections): -11.167 eV/cell



Q: Which value of total DFT energy (no corrections) does entry 6 give?
A: -11.167 eV/cell